(1)
Density functional theory data (PBE) for a relaxed Se2IBr6 crystal.

Structure (POSCAR):
```
Se2IBr6
1.0
-4.8860 -0.7906 -7.4037
-7.2661 -3.4850 5.1674
-6.8493 7.0553 3.7668
Se I Br
4 2 12
Cartesian
-11.1231 -2.1808 1.9706
-5.8686 0.0493 3.6212
-13.1328 2.7305 -2.0907
-7.8783 4.9605 -0.4402
-6.0761 -2.1378 -1.1182
-3.4246 3.5277 1.8834
-7.4224 5.2063 3.7651
-5.1440 1.5071 1.3028
-2.6297 -0.0493 -1.7646
-10.0686 0.9218 -2.3153
-6.1183 -0.4022 -3.2067
-9.4543 3.1536 -0.0311
-11.5791 -2.4266 -2.2346
-13.8575 1.2726 0.2277
-16.3718 2.8291 3.2950
-8.9329 1.8579 3.8458
-12.8832 3.1820 4.7372
-9.5471 -0.3739 1.5615
```

Computed properties:
Total DFT energy (no corrections) = -0.07740 hartree per atom

***

(2)
Density functional theory data (PBE) for a relaxed Se2I6Br crystal.

Structure (POSCAR):
```
Se2I6Br
1.0
7.3561 0.0000 0.0000
-3.6781 6.6855 -2.2320
0.0000 1.2245 9.0592
Se I Br
2 6 1
Cartesian
3.6781 5.2177 6.8109
0.0000 2.6923 0.0164
0.0000 5.5234 7.0578
3.6780 2.3866 -0.2305
3.6780 6.7879 -0.4126
3.6781 3.6363 4.8003
0.0000 1.1221 7.2400
0.0000 4.2737 2.0270
0.0000 0.6123 4.5296
```

Computed properties:
Total DFT energy (no corrections) = -0.07069 hartree per atom

***

Number 1: formation energy without anion corrections -0.044 eV per atom, total magnetic moment 0.1061 μB per atom. Number 2: formation energy without anion corrections 0.070 eV per atom, total magnetic moment 0.0000 μB per atom.